## ZnSbPd3 (PBE-GGA)

Data for a geometry-optimized ZnSbPd3 structure.

Computed properties:
uncorrected energy: -18.8 eV per cell
mass density: 7.06 g/cm³
magnetic moment: 0.000 μB/atom
formation energy without anion corrections: 0.444 eV per atom
crystal system: cubic
relative energy among the computed polymorphs: 0.869 eV/atom

Unit cell a=4.921 b=4.921 c=4.921 alpha=90.00 beta=90.00 gamma=90.00
Space group Pm-3m (No. 221)
Asymmetric unit:
Zn 0.000 0.000 0.000
Sb 0.500 0.500 0.500
Pd 0.000 0.500 0.500


## Zn2Sb5Pd12 (PBE-GGA)

Data for a geometry-optimized Zn2Sb5Pd12 structure.

Computed properties:
uncorrected energy: -182.4 eV per cell
mass density: 9.24 g/cm³
magnetic moment: 0.000 μB/atom
formation energy without anion corrections: -0.302 eV per atom
crystal system: monoclinic

Unit cell a=13.851 b=5.658 c=9.328 alpha=90.00 beta=97.51 gamma=90.00
Space group C2/m (No. 12)
Asymmetric unit:
Zn 0.000 0.247 0.000
Sb 0.000 0.500 0.500
Sb 0.177 0.000 0.896
Sb 0.185 0.000 0.402
Pd 0.005 0.000 0.246
Pd 0.006 0.500 0.777
Pd 0.152 0.252 0.637
Pd 0.169 0.250 0.150


## ZnSbPd14 (PBE-GGA)

Data for a geometry-optimized ZnSbPd14 structure.

Computed properties:
uncorrected energy: -161.2 eV per cell
mass density: 11.15 g/cm³
magnetic moment: 0.000 μB/atom
formation energy without anion corrections: -0.158 eV per atom
crystal system: orthorhombic

Unit cell a=9.089 b=5.804 c=9.467 alpha=90.00 beta=90.00 gamma=90.00
Space group Amm2 (No. 38)
Asymmetric unit:
Zn 0.000 0.000 0.000
Sb 0.000 0.000 0.502
Pd 0.000 0.249 0.256
Pd 0.242 0.248 0.065
Pd 0.251 0.000 0.817
Pd 0.254 0.000 0.315
Pd 0.500 0.000 0.135
Pd 0.500 0.000 0.636
Pd 0.500 0.250 0.387


## Zn2SbPd2 (PBE-GGA)

Data for a geometry-optimized Zn2SbPd2 structure.

Computed properties:
uncorrected energy: -37.2 eV per cell
mass density: 8.89 g/cm³
magnetic moment: 0.000 μB/atom
formation energy without anion corrections: -0.306 eV per atom
crystal system: tetragonal
relative energy among the computed polymorphs: 0.040 eV/atom

Unit cell a=3.590 b=3.590 c=13.501 alpha=90.00 beta=90.00 gamma=90.00
Space group I4/mmm (No. 139)
Asymmetric unit:
Zn 0.000 0.500 0.250
Sb 0.000 0.000 0.000
Pd 0.000 0.000 0.396


Q: Which of these has the highest mass density?
A: ZnSbPd14